No. 1
An optimized crystal structure of Pm2TiSb3Pt4, computed with PBE.

Energy relative to the elements, uncorrected   -0.8695 eV per atom
SG   No. 115

Cell: 4.433 4.433 11.108 Å, 90.00 90.00 90.00°
Positions (direct):
Pm: 0.500 0.000 0.233
Pm: 0.000 0.500 0.767
Ti: 0.500 0.500 0.500
Sb: 0.000 0.000 0.500
Sb: 0.500 0.000 0.863
Sb: 0.000 0.500 0.137
Pt: 0.500 0.500 0.000
Pt: 0.000 0.000 0.000
Pt: 0.500 0.000 0.629
Pt: 0.000 0.500 0.371



No. 2
An optimized crystal structure of Pm2YSb3Pt4, computed with PBE.

Energy relative to the elements, uncorrected   -0.9307 eV per atom
SG   No. 115

Cell: 4.507 4.507 11.501 Å, 90.00 90.00 90.00°
Positions (direct):
Pm: 0.500 0.000 0.211
Pm: 0.000 0.500 0.789
Y: 0.500 0.500 0.500
Sb: 0.000 0.000 0.500
Sb: 0.500 0.000 0.869
Sb: 0.000 0.500 0.131
Pt: 0.500 0.500 0.000
Pt: 0.000 0.000 0.000
Pt: 0.500 0.000 0.644
Pt: 0.000 0.500 0.356



No. 3
An optimized crystal structure of PmZnSbPt, computed with PBE.

Energy relative to the elements, uncorrected   -0.6164 eV per atom
SG   No. 216

Cell: 4.952 4.952 4.952 Å, 60.00 60.00 60.00°
Positions (direct):
Sb: 0.000 0.000 0.000
Zn: 0.250 0.250 0.250
Pt: 0.750 0.750 0.750
Pm: 0.500 0.500 0.500



No. 4
An optimized crystal structure of Pm2ZrSb3Pt4, computed with PBE.

Energy relative to the elements, uncorrected   -0.8915 eV per atom
SG   No. 115

Cell: 4.481 4.481 11.262 Å, 90.00 90.00 90.00°
Positions (direct):
Pm: 0.500 0.000 0.222
Pm: 0.000 0.500 0.778
Zr: 0.500 0.500 0.500
Sb: 0.000 0.000 0.500
Sb: 0.500 0.000 0.866
Sb: 0.000 0.500 0.134
Pt: 0.500 0.500 0.000
Pt: 0.000 0.000 0.000
Pt: 0.500 0.000 0.636
Pt: 0.000 0.500 0.364



No. 5
An optimized crystal structure of PmSc2Pt, computed with PBE.

Energy of formation   -1.69 eV per formula unit
Energy above the lowest structure with this stoichiometry   268 meV per atom
SG   No. 166

Cell: 4.514 4.514 6.226 Å, 68.75 68.75 60.00°
Positions (direct):
Sc: 0.786 0.786 0.643
Sc: 0.214 0.214 0.357
Pt: 0.500 0.500 0.500
Pm: 0.000 0.000 0.000



No. 6
An optimized crystal structure of Pm4ScPt5, computed with PBE.

Energy of formation   -10.93 eV per formula unit
SG   No. 123

Cell: 3.500 3.500 17.927 Å, 90.00 90.00 90.00°
Positions (direct):
Pm: 0.000 0.000 0.191
Pm: 0.000 0.000 0.397
Pm: 0.000 0.000 0.603
Pm: 0.000 0.000 0.809
Sc: 0.000 0.000 0.000
Pt: 0.500 0.500 0.083
Pt: 0.500 0.500 0.294
Pt: 0.500 0.500 0.500
Pt: 0.500 0.500 0.706
Pt: 0.500 0.500 0.917



No. 7
An optimized crystal structure of Pm2ScPt2, computed with PBE.

Energy of formation   -4.66 eV per formula unit
Energy above the lowest structure with this stoichiometry   89 meV per atom
SG   No. 72

Cell: 5.967 7.913 7.382 Å, 122.41 113.84 90.00°
Positions (direct):
Pm: 0.843 0.701 0.686
Pm: 0.157 0.299 0.314
Pm: 0.657 0.015 0.314
Pm: 0.343 0.985 0.686
Sc: 0.750 0.500 0.000
Sc: 0.250 0.500 0.000
Pt: 0.403 0.663 0.806
Pt: 0.597 0.337 0.194
Pt: 0.097 0.857 0.194
Pt: 0.903 0.143 0.806



No. 8
An optimized crystal structure of Pm2Sc3Pt4, computed with PBE.

Energy of formation   -10.40 eV per formula unit
SG   No. 14

Cell: 7.671 7.303 7.372 Å, 90.00 90.00 110.32°
Positions (direct):
Pm: 0.574 0.193 0.327
Pm: 0.926 0.807 0.827
Pm: 0.426 0.807 0.673
Pm: 0.074 0.193 0.173
Sc: 0.000 0.500 0.500
Sc: 0.500 0.500 0.000
Sc: 0.748 0.251 0.841
Sc: 0.752 0.749 0.341
Sc: 0.252 0.749 0.159
Sc: 0.248 0.251 0.659
Pt: 0.862 0.092 0.548
Pt: 0.638 0.908 0.048
Pt: 0.138 0.908 0.452
Pt: 0.362 0.092 0.952
Pt: 0.874 0.505 0.140
Pt: 0.626 0.495 0.640
Pt: 0.126 0.495 0.860
Pt: 0.374 0.505 0.360



No. 9
An optimized crystal structure of PmScPt2, computed with PBE.

Energy of formation   -4.53 eV per formula unit
Energy above the lowest structure with this stoichiometry   35 meV per atom
SG   No. 123

Cell: 3.367 3.367 7.171 Å, 90.00 90.00 90.00°
Positions (direct):
Sc: 0.500 0.500 0.000
Pt: 0.000 0.000 0.784
Pt: 0.000 0.000 0.216
Pm: 0.500 0.500 0.500



No. 10
An optimized crystal structure of PmSc2Pt, computed with PBE.

Energy of formation   -2.41 eV per formula unit
Energy above the lowest structure with this stoichiometry   89 meV per atom
SG   No. 123

Cell: 3.382 3.382 8.167 Å, 90.00 90.00 90.00°
Positions (direct):
Sc: 0.000 0.000 0.810
Sc: 0.000 0.000 0.190
Pt: 0.500 0.500 0.000
Pm: 0.500 0.500 0.500



No. 11
An optimized crystal structure of PmSc2Pt, computed with PBE.

Energy of formation   -2.15 eV per formula unit
Energy above the lowest structure with this stoichiometry   153 meV per atom
SG   No. 160

Cell: 4.541 4.541 6.346 Å, 69.03 69.03 60.00°
Positions (direct):
Pm: 0.495 0.495 0.514
Sc: 0.046 0.046 0.861
Sc: 0.285 0.285 0.145
Pt: 0.673 0.673 0.981



No. 12
An optimized crystal structure of PmScPt2, computed with PBE.

Energy of formation   -4.67 eV per formula unit
Energy above the lowest structure with this stoichiometry   0 meV per atom
SG   No. 11

Cell: 4.516 5.801 7.204 Å, 116.59 90.00 90.00°
Positions (direct):
Pm: 0.250 0.289 0.109
Pm: 0.750 0.711 0.891
Sc: 0.750 0.769 0.401
Sc: 0.250 0.231 0.599
Pt: 0.250 0.848 0.213
Pt: 0.750 0.152 0.787
Pt: 0.750 0.287 0.400
Pt: 0.250 0.713 0.600



| no. | Fermi-level density of states (states/eV/f.u.) |
| --- | --- |
| 1 | 5.54 |
| 2 | 2.63 |
| 3 | 0.61 |
| 4 | 5.84 |
| 5 | 3.96 |
| 6 | 7.25 |
| 7 | 3.23 |
| 8 | 6.23 |
| 9 | 3.28 |
| 10 | 4.66 |
| 11 | 3.83 |
| 12 | 2.70 |